Crystalline Tb8Sc3 at its relaxed geometry. Source: Alexandria via LeMat-Bulk, functional PBE.

* DFT formation energy: 0.04 eV per atom
* E above lowest polymorph: 0.00 eV per formula unit

a b c (Å): 31.0046 31.0046 31.0046
angles (deg): 6.46 6.46 6.46
Last column: nearest neighbours and their distance in Å.
Positions (direct):
Tb1 0.0472 0.0472 0.0472  12 Tb 3.49-3.57
Tb2 0.1374 0.1374 0.1374  6 Sc 3.38-3.39, 6 Tb 3.49
Tb3 0.3176 0.3176 0.3176  12 Tb 3.49-3.55
Tb4 0.4122 0.4122 0.4122  3 Sc 3.38, 9 Tb 3.49-3.57
Tb5 0.5878 0.5878 0.5878  3 Sc 3.38, 9 Tb 3.49-3.57
Tb6 0.6824 0.6824 0.6824  12 Tb 3.49-3.55
Tb7 0.8626 0.8626 0.8626  6 Sc 3.38-3.39, 6 Tb 3.49
Tb8 0.9528 0.9528 0.9528  12 Tb 3.49-3.57
Sc1 0.2253 0.2253 0.2253  6 Tb 3.38-3.39, 6 Sc 3.49
Sc2 0.5000 0.5000 0.5000  6 Tb 3.38, 6 Sc 3.49
Sc3 0.7747 0.7747 0.7747  6 Tb 3.38-3.39, 6 Sc 3.49

Crystalline Ta2PtBr at its relaxed geometry. Source: Alexandria via LeMat-Bulk, functional PBE.

* formation energy (no corrections): 0.13 eV per atom
* E above lowest polymorph: 0.84 eV per formula unit

a b c (Å): 2.9348 4.1520 6.0187
angles (deg): 90.00 90.00 90.00
Last column: nearest neighbours and their distance in Å.
Positions (direct):
Ta1 0.0000 0.0000 0.2322  2 Br 2.63, 3 Ta 2.79-2.93, 4 Pt 2.90
Ta2 0.0000 0.0000 0.7678  2 Br 2.63, 3 Ta 2.79-2.93, 4 Pt 2.90
Pt1 0.5000 0.5000 0.0000  8 Ta 2.90, 2 Pt 2.93
Br1 0.0000 0.5000 0.5000  4 Ta 2.63, 2 Br 2.93

Crystalline HAu at its relaxed geometry. Source: Alexandria via LeMat-Bulk, functional PBE.

a b c (Å): 5.6083 6.0120 6.4717
angles (deg): 90.00 90.00 90.00
Last column: nearest neighbours and their distance in Å.
Positions (direct):
H1 0.0623 0.0514 0.2774  3 Au 1.82-2.00
H2 0.1784 0.5656 0.7552  2 Au 1.69-1.89
H3 0.3216 0.4344 0.2552  2 Au 1.69-1.89
H4 0.4377 0.9486 0.7774  3 Au 1.82-2.00
H5 0.5623 0.4486 0.7226  3 Au 1.82-2.00
H6 0.6784 0.9344 0.2448  2 Au 1.69-1.89
H7 0.8216 0.0656 0.7448  2 Au 1.69-1.89
H8 0.9377 0.5514 0.2226  3 Au 1.82-2.00
Au1 0.0743 0.3162 0.0913  3 H 1.82-2.00
Au2 0.1169 0.0148 0.7599  2 H 1.69-1.85
Au3 0.3831 0.9852 0.2599  2 H 1.69-1.85
Au4 0.4257 0.6838 0.5913  3 H 1.82-2.00
Au5 0.5743 0.1839 0.9087  3 H 1.82-2.00
Au6 0.6169 0.4852 0.2401  2 H 1.69-1.85
Au7 0.8831 0.5148 0.7401  2 H 1.69-1.85
Au8 0.9257 0.8162 0.4087  3 H 1.82-2.00

Crystalline CsMo6Se7 at its relaxed geometry. Source: Alexandria via LeMat-Bulk, functional PBE.

* formation energy (no corrections): -0.65 eV per atom

a b c (Å): 10.0192 10.0192 10.0192
angles (deg): 58.91 58.91 58.91
Last column: nearest neighbours and their distance in Å.
Positions (direct):
Cs1 0.1256 0.1256 0.1256  10 Se 3.67-3.89
Cs2 0.8744 0.8744 0.8744  10 Se 3.67-3.89
Mo1 0.1960 0.5053 0.3824  5 Se 2.54-2.69, 4 Mo 2.66-2.81
Mo2 0.3062 0.4394 0.6201  4 Se 2.60-2.71, 6 Mo 2.69-2.81
Mo3 0.3799 0.6938 0.5606  4 Se 2.60-2.71, 6 Mo 2.69-2.81
Mo4 0.3824 0.1960 0.5053  5 Se 2.54-2.69, 4 Mo 2.66-2.81
Mo5 0.4394 0.6201 0.3062  4 Se 2.60-2.71, 6 Mo 2.69-2.81
Mo6 0.4947 0.6176 0.8040  5 Se 2.54-2.69, 4 Mo 2.66-2.81
Mo7 0.5053 0.3824 0.1960  5 Se 2.54-2.69, 4 Mo 2.66-2.81
Mo8 0.5606 0.3799 0.6938  4 Se 2.60-2.71, 6 Mo 2.69-2.81
Mo9 0.6176 0.8040 0.4947  5 Se 2.54-2.69, 4 Mo 2.66-2.81
Mo10 0.6201 0.3062 0.4394  4 Se 2.60-2.71, 6 Mo 2.69-2.81
Mo11 0.6938 0.5606 0.3799  4 Se 2.60-2.71, 6 Mo 2.69-2.81
Mo12 0.8040 0.4947 0.6176  5 Se 2.54-2.69, 4 Mo 2.66-2.81
Se1 0.0813 0.3320 0.6937  4 Mo 2.60-2.68
Se2 0.1318 0.7403 0.4848  4 Mo 2.60-2.71
Se3 0.2597 0.5152 0.8682  4 Mo 2.60-2.71
Se4 0.2792 0.2792 0.2792  3 Mo 2.54
Se5 0.3063 0.9187 0.6680  4 Mo 2.60-2.68
Se6 0.3320 0.6937 0.0813  4 Mo 2.60-2.68
Se7 0.4848 0.1318 0.7403  4 Mo 2.60-2.71
Se8 0.5152 0.8682 0.2597  4 Mo 2.60-2.71
Se9 0.6680 0.3063 0.9187  4 Mo 2.60-2.68
Se10 0.6937 0.0813 0.3320  4 Mo 2.60-2.68
Se11 0.7208 0.7208 0.7208  3 Mo 2.54
Se12 0.7403 0.4848 0.1318  4 Mo 2.60-2.71
Se13 0.8682 0.2597 0.5152  4 Mo 2.60-2.71
Se14 0.9187 0.6680 0.3063  4 Mo 2.60-2.68

Crystalline YZrCl2 at its relaxed geometry. Source: Alexandria via LeMat-Bulk, functional PBE.

* formation energy (no corrections): -0.61 eV per atom
* E above lowest polymorph: 2.87 eV per formula unit

a b c (Å): 6.9409 6.9409 6.9409
angles (deg): 148.39 148.39 45.31
Last column: nearest neighbours and their distance in Å.
Positions (direct):
Y1 0.0000 0.0000 0.0000  4 Cl 2.67
Zr1 0.2500 0.7500 0.5000  4 Cl 2.67
Cl1 0.5000 0.5000 0.0000  4 Y 2.67
Cl2 0.7500 0.2500 0.5000  4 Zr 2.67

Crystalline NbCdSb2O8 at its relaxed geometry. Source: Alexandria via LeMat-Bulk, functional PBE.

* formation energy (no corrections): -1.62 eV per atom

a b c (Å): 4.8914 4.8914 6.5762
angles (deg): 90.00 90.00 91.29
Last column: nearest neighbours and their distance in Å.
Positions (direct):
Nb1 0.0000 0.0000 0.0000  6 O 2.00-2.13
Cd1 0.0000 0.0000 0.5000  6 O 2.24-2.30
Sb1 0.5000 0.5000 0.2502  6 O 2.05-2.14
Sb2 0.5000 0.5000 0.7498  6 O 2.05-2.14
O1 0.2014 0.2014 0.2198  1 Nb 2.00, 1 Sb 2.05
O2 0.2014 0.2014 0.7802  1 Nb 2.00, 1 Sb 2.05
O3 0.3042 0.6958 0.0000  1 Nb 2.13, 2 Sb 2.14
O4 0.3209 0.6791 0.5000  2 Sb 2.07, 1 Cd 2.24
O5 0.6791 0.3209 0.5000  2 Sb 2.07, 1 Cd 2.24
O6 0.6958 0.3042 0.0000  1 Nb 2.13, 2 Sb 2.14
O7 0.7986 0.7986 0.2198  1 Nb 2.00, 1 Sb 2.05
O8 0.7986 0.7986 0.7802  1 Nb 2.00, 1 Sb 2.05

Crystalline LaSm6ErTm2 at its relaxed geometry. Source: Alexandria via LeMat-Bulk, functional PBE.

* DFT formation energy: 0.12 eV per atom

a b c (Å): 8.8664 8.8664 9.5525
angles (deg): 93.04 93.04 116.33
Last column: nearest neighbours and their distance in Å.
Positions (direct):
La1 0.0349 0.9651 0.7500  4 Tm 3.42-3.55, 6 Sm 3.56-3.73
La2 0.9651 0.0349 0.2500  4 Tm 3.42-3.55, 6 Sm 3.56-3.73
Sm1 0.0056 0.5537 0.6818  3 Sm 3.26-3.61, 1 Er 3.45, 2 Tm 3.47-3.60, 1 La 3.56
Sm2 0.1153 0.7586 0.0566  7 Sm 3.46-3.80, 1 Tm 3.55, 2 La 3.72-3.73
Sm3 0.2414 0.8847 0.4434  7 Sm 3.46-3.80, 1 Tm 3.55, 2 La 3.72-3.73
Sm4 0.2942 0.5189 0.8843  4 Sm 3.25-3.55, 3 Tm 3.31-3.48, 2 Er 3.44-3.53
Sm5 0.4463 0.9944 0.8182  3 Sm 3.26-3.61, 1 Er 3.45, 2 Tm 3.47-3.60, 1 La 3.56
Sm6 0.4811 0.7058 0.6157  4 Sm 3.25-3.55, 3 Tm 3.31-3.48, 2 Er 3.44-3.53
Sm7 0.5189 0.2942 0.3843  4 Sm 3.25-3.55, 3 Tm 3.31-3.48, 2 Er 3.44-3.53
Sm8 0.5537 0.0056 0.1818  3 Sm 3.26-3.61, 1 Er 3.45, 2 Tm 3.47-3.60, 1 La 3.56
Sm9 0.7058 0.4811 0.1157  4 Sm 3.25-3.55, 3 Tm 3.31-3.48, 2 Er 3.44-3.53
Sm10 0.7586 0.1153 0.5566  7 Sm 3.46-3.80, 1 Tm 3.55, 2 La 3.72-3.73
Sm11 0.8847 0.2414 0.9434  7 Sm 3.46-3.80, 1 Tm 3.55, 2 La 3.72-3.73
Sm12 0.9944 0.4463 0.3182  3 Sm 3.26-3.61, 1 Er 3.45, 2 Tm 3.47-3.60, 1 La 3.56
Er1 0.4111 0.5889 0.2500  6 Sm 3.44-3.53, 2 Tm 3.51
Er2 0.5889 0.4111 0.7500  6 Sm 3.44-3.53, 2 Tm 3.51
Tm1 0.2043 0.3032 0.5521  6 Sm 3.31-3.60, 2 La 3.42-3.55, 1 Er 3.51
Tm2 0.3032 0.2043 0.0521  6 Sm 3.31-3.60, 2 La 3.42-3.55, 1 Er 3.51
Tm3 0.6968 0.7957 0.9479  6 Sm 3.31-3.60, 2 La 3.42-3.55, 1 Er 3.51
Tm4 0.7957 0.6968 0.4479  6 Sm 3.31-3.60, 2 La 3.42-3.55, 1 Er 3.51

Crystalline NpSiO3 at its relaxed geometry. Source: Alexandria via LeMat-Bulk, functional PBE.

* formation energy (no corrections): -2.08 eV per atom

a b c (Å): 3.7743 3.7743 3.7743
angles (deg): 90.00 90.00 90.00
Last column: nearest neighbours and their distance in Å.
Positions (direct):
Np1 0.0000 0.0000 0.0000  12 O 2.67
Si1 0.5000 0.5000 0.5000  6 O 1.89
O1 0.0000 0.5000 0.5000  2 Si 1.89
O2 0.5000 0.0000 0.5000  2 Si 1.89
O3 0.5000 0.5000 0.0000  2 Si 1.89

Crystalline ErScTcAg at its relaxed geometry. Source: Alexandria via LeMat-Bulk, functional PBE.

* DFT formation energy: -0.18 eV per atom

a b c (Å): 4.8102 4.8102 4.8102
angles (deg): 60.00 60.00 60.00
Last column: nearest neighbours and their distance in Å.
Positions (direct):
Er1 0.0000 0.0000 0.0000  4 Tc 2.95, 4 Ag 2.95
Sc1 0.5000 0.5000 0.5000  4 Tc 2.95, 4 Ag 2.95
Tc1 0.2500 0.2500 0.2500  4 Er 2.95, 4 Sc 2.95
Ag1 0.7500 0.7500 0.7500  4 Er 2.95, 4 Sc 2.95

Crystalline Ca2CuRh at its relaxed geometry. Source: Alexandria via LeMat-Bulk, functional PBE.

* DFT formation energy: -0.29 eV per atom

a b c (Å): 4.2298 5.6795 5.6795
angles (deg): 42.86 90.00 90.00
Last column: nearest neighbours and their distance in Å.
Positions (direct):
Ca1 0.0000 0.0000 0.0000  3 Rh 3.00-3.12, 4 Cu 3.08
Ca2 0.5000 0.2829 0.2829  3 Cu 2.99-3.14, 4 Rh 3.08
Cu1 0.5000 0.5797 0.5797  2 Rh 2.49
Rh1 0.0000 0.7045 0.7045  2 Cu 2.49

Crystalline DyAl2Ni at its relaxed geometry. Source: Alexandria via LeMat-Bulk, functional PBE.

* DFT formation energy: -0.45 eV per atom

a b c (Å): 3.0574 3.0574 7.3141
angles (deg): 90.00 90.00 90.00
Last column: nearest neighbours and their distance in Å.
Positions (direct):
Dy1 0.0000 0.0000 0.0000  4 Dy 3.06, 8 Al 3.15
Al1 0.5000 0.5000 0.3130  4 Ni 2.56, 1 Al 2.73
Al2 0.5000 0.5000 0.6870  4 Ni 2.56, 1 Al 2.73
Ni1 0.0000 0.0000 0.5000  8 Al 2.56

Crystalline MgZnHIr at its relaxed geometry. Source: Alexandria via LeMat-Bulk, functional PBE.

a b c (Å): 3.5417 5.1608 5.1608
angles (deg): 36.05 90.00 90.00
Last column: nearest neighbours and their distance in Å.
Positions (direct):
Mg1 0.0000 0.0000 0.0000  3 Ir 2.67-2.77, 4 H 2.80
Zn1 0.5000 0.3140 0.3140  2 H 2.27
H1 0.5000 0.6502 0.6502  2 Ir 1.89
Ir1 0.0000 0.7179 0.7179  2 H 1.89

Number 1: magnetic moment 0.00 Bohr magnetons per cell, energy -5.051 eV/atom. Number 2: magnetic moment 0.00 Bohr magnetons per cell, energy -7.727 eV/atom. Number 3: magnetic moment 0.00 Bohr magnetons per cell, energy -3.064 eV/atom. Number 4: magnetic moment 0.00 Bohr magnetons per cell, energy -7.098 eV/atom. Number 5: magnetic moment 0.00 Bohr magnetons per cell, energy -5.289 eV/atom. Number 6: magnetic moment 0.00 Bohr magnetons per cell, energy -6.526 eV/atom. Number 7: magnetic moment 0.00 Bohr magnetons per cell, energy -4.557 eV/atom. Number 8: magnetic moment 4.68 Bohr magnetons per cell, energy -8.730 eV/atom. Number 9: magnetic moment 0.00 Bohr magnetons per cell, energy -6.211 eV/atom. Number 10: magnetic moment 0.00 Bohr magnetons per cell, energy -4.149 eV/atom. Number 11: magnetic moment 0.00 Bohr magnetons per cell, energy -4.916 eV/atom. Number 12: magnetic moment 0.00 Bohr magnetons per cell, energy -3.874 eV/atom.